Computed, not measured: crystalline NaInCl2 at its relaxed geometry at the PBE level of DFT.

Geometry as POSCAR:
```
NaInCl2
1.0
3.631 0.000 0.000
0.000 3.631 0.000
0.000 0.000 7.566
Na In Cl
1 1 2
Cartesian
0.000 0.000 0.000
0.000 0.000 3.783
1.815 1.815 1.705
1.815 1.815 5.862
```

Properties
The distance to the lowest polymorph of the same formula comes out at 89.0 meV/atom. The value obtained for the formation energy (no corrections) is -115 kJ per mole of atoms. The calculation puts the final energy at -3.130 eV per atom. As for the symmetry: P4/mmm, No. 123.